CaTb: relaxed, PBE-GGA.

The structure in CIF format:
```
data_CaTb
_symmetry_space_group_name_H-M 'P 1'
_symmetry_Int_Tables_number 1
_cell_length_a 3.6160
_cell_length_b 5.2821
_cell_length_c 7.5278
_cell_angle_alpha 90.00
_cell_angle_beta 90.04
_cell_angle_gamma 90.00
loop_
_symmetry_equiv_pos_as_xyz
'x,y,z'
loop_
_atom_site_label
_atom_site_type_symbol
_atom_site_fract_x
_atom_site_fract_y
_atom_site_fract_z
Ca1 Ca 0.2492 0.2500 0.1339
Ca2 Ca 0.7508 0.7500 0.8661
Tb1 Tb 0.2505 0.2500 0.6076
Tb2 Tb 0.7495 0.7500 0.3924
```

* E_form: 0.116 eV/atom
* magnetization: 0.00 μB per formula unit
* total DFT energy (no corrections): -3.199 eV per atom
* polymorph energy (0 for the lowest one): 69 meV/atom